Record 1
{"formula": "CaHg2W", "functional": "PBE", "state": "optimized geometry", "lattice": [[-5.4719, 4.1990, -7.3150], [-7.4788, 1.9118, -6.4418], [-7.4455, 4.6679, -4.8847]], "species": ["W", "Hg", "Hg", "Ca"], "frac_coords": [[0.2500, 0.2500, 0.2500], [0.9963, 0.9963, 0.9963], [0.5037, 0.5037, 0.5037], [0.7500, 0.7500, 0.7500]], "e_above_lowest_polymorph_mev_per_atom": 159, "n_ef_per_ev_atom": 0.84, "m_tot_mub_per_fu": 0.0, "formation_energy_ev_per_atom": 0.58, "total_energy_ev_per_atom": -3.313}

=====

Record 2
{"formula": "Ca2HgW", "functional": "PBE", "state": "optimized geometry", "lattice": [[-4.2963, -2.5064, -1.6633], [2.8915, -2.6418, -3.4881], [0.5821, -2.6498, 2.4894]], "species": ["Ca", "Ca", "W", "Hg"], "frac_coords": [[0.5000, 0.5000, 0.0000], [0.0000, 0.0000, 0.0000], [0.0000, 0.5000, 0.5000], [0.5000, 0.0000, 0.5000]], "n_ef_per_ev_atom": 0.89, "m_tot_mub_per_fu": 3.3, "formation_energy_ev_per_atom": 0.65, "total_energy_ev_per_atom": -3.665}

=====

Record 3
{"formula": "Ca2HgW", "functional": "PBE", "state": "optimized geometry", "lattice": [[3.1027, 0.0000, 0.0000], [0.0000, 4.7322, 0.0000], [0.0000, 0.0000, 6.5836]], "species": ["Ca", "Ca", "W", "Hg"], "frac_coords": [[0.0000, 0.0000, 0.9598], [0.5000, 0.5000, 0.2831], [0.5000, 0.5000, 0.7545], [0.0000, 0.0000, 0.5026]], "n_ef_per_ev_atom": 1.01, "m_tot_mub_per_fu": 1.1, "formation_energy_ev_per_atom": 0.68, "total_energy_ev_per_atom": -3.638}

=====

Record 4
{"formula": "Ca2HgW", "functional": "PBE", "state": "optimized geometry", "lattice": [[4.7261, 0.0000, 0.0000], [0.0000, 3.1013, 0.0096], [0.0000, 3.0722, 6.4575]], "species": ["W", "Ca", "Ca", "Hg"], "frac_coords": [[0.5000, 0.7500, 0.7500], [0.0000, 0.4889, 0.5108], [0.0000, 0.0111, 0.9892], [0.5000, 0.2500, 0.2500]], "n_ef_per_ev_atom": 1.07, "m_tot_mub_per_fu": 0.0, "formation_energy_ev_per_atom": 0.58, "total_energy_ev_per_atom": -3.735}

=====

Record 5
{"formula": "CaHg2W2", "functional": "PBE", "state": "optimized geometry", "lattice": [[-2.2915, -3.9929, -0.0569], [3.9565, -2.2612, -0.6560], [1.4895, -3.5829, 5.1771]], "species": ["Hg", "Hg", "Ca", "W", "W"], "frac_coords": [[0.7500, 0.2500, 0.5000], [0.2500, 0.7500, 0.5000], [0.0000, 0.0000, 0.0000], [0.3990, 0.3990, 0.2020], [0.6010, 0.6010, 0.7980]], "e_above_lowest_polymorph_mev_per_atom": 178, "n_ef_per_ev_atom": 0.97, "m_tot_mub_per_fu": 0.0, "formation_energy_ev_per_atom": 0.83, "total_energy_ev_per_atom": -4.869}

=====

Record 6
{"formula": "CaHgW", "functional": "PBE", "state": "optimized geometry", "lattice": [[-2.6930, 0.7285, 5.5818], [1.1245, -2.3423, 5.6735], [1.7959, 2.9917, -5.1734]], "species": ["Hg", "Ca", "W"], "frac_coords": [[0.3130, 0.3130, 0.0000], [0.0014, 0.0014, 0.0000], [0.6856, 0.6856, 0.0000]], "e_above_lowest_polymorph_mev_per_atom": 187, "n_ef_per_ev_atom": 0.79, "m_tot_mub_per_fu": 0.0, "formation_energy_ev_per_atom": 0.78, "total_energy_ev_per_atom": -4.302}

=====

Record 7
{"formula": "CaHg2W", "functional": "PBE", "state": "optimized geometry", "lattice": [[-0.8208, -0.0276, 3.4099], [2.4145, -2.4814, 0.5611], [4.8649, 5.0078, 1.2116]], "species": ["W", "Hg", "Hg", "Ca"], "frac_coords": [[0.5000, 0.5000, 0.2500], [0.0000, 0.0000, 0.0290], [0.0000, 0.0000, 0.4710], [0.5000, 0.5000, 0.7500]], "e_above_lowest_polymorph_mev_per_atom": 94, "n_ef_per_ev_atom": 0.98, "m_tot_mub_per_fu": 1.4, "formation_energy_ev_per_atom": 0.51, "total_energy_ev_per_atom": -3.378}

=====

Record 8
{"formula": "Ca4HgW", "functional": "PBE", "state": "optimized geometry", "lattice": [[0.0000, 4.4853, 4.4853], [4.4853, 0.0000, 4.4853], [4.4853, 4.4853, 0.0000]], "species": ["Ca", "Ca", "Ca", "Ca", "W", "Hg"], "frac_coords": [[0.3746, 0.3746, 0.8761], [0.8761, 0.3746, 0.3746], [0.3746, 0.3746, 0.3746], [0.3746, 0.8761, 0.3746], [0.0000, 0.0000, 0.0000], [0.7500, 0.7500, 0.7500]], "n_ef_per_ev_atom": 0.64, "m_tot_mub_per_fu": 4.0, "formation_energy_ev_per_atom": 1.01, "total_energy_ev_per_atom": -2.538}